DFT (PBE) results for a relaxed V2ReAgPt crystal.

Unit cell a=4.5235 b=4.5235 c=4.9326 alpha=90.00 beta=90.00 gamma=90.00
Space group P4/mmm (No. 123)
One atom of each set of equivalent atoms:
V1 0.0000 0.5000 0.0000
Re1 0.0000 0.0000 0.0000
Ag1 0.5000 0.5000 0.5000
Pt1 0.0000 0.0000 0.5000

Output
For the density, the calculation gives 9.7 Mg/m³. Its uncorrected energy is -34.05 eV/cell. The value obtained for the formation energy is 1106 meV/atom.